(1)
# PBE Ho3Mg3InAgPd, relaxed
# Raw total energy   -3.6913 eV/atom
# Space-group type   P-6 (174)
data_Ho3Mg3InAgPd
_chemical_formula_sum 'Ho3 Mg3 In1 Ag1 Pd1'
_cell_length_a 7.861
_cell_length_b 7.861
_cell_length_c 3.942
_cell_angle_alpha 90.00
_cell_angle_beta 90.00
_cell_angle_gamma 120.00
_symmetry_space_group_name_H-M 'P 1'
_symmetry_Int_Tables_number 1
loop_
_symmetry_equiv_pos_as_xyz
'x,y,z'
loop_
_atom_site_label
_atom_site_fract_x
_atom_site_fract_y
_atom_site_fract_z
In1 0.667 0.333 0.000
Mg1 0.996 0.747 0.000
Mg2 0.253 0.249 0.000
Mg3 0.751 0.004 0.000
Ho1 0.031 0.427 0.500
Ho2 0.573 0.604 0.500
Ho3 0.396 0.969 0.500
Ag1 0.000 0.000 0.500
Pd1 0.333 0.667 0.000


(2)
# PBE Nb2TeSe3, relaxed
# Excess energy over the best structure of this formula in the dataset   1 meV/atom
# Space-group type   P3m1 (156)
data_Nb2TeSe3
_chemical_formula_sum 'Nb2 Te1 Se3'
_cell_length_a 3.529
_cell_length_b 3.529
_cell_length_c 13.275
_cell_angle_alpha 90.00
_cell_angle_beta 90.00
_cell_angle_gamma 120.00
_symmetry_space_group_name_H-M 'P 1'
_symmetry_Int_Tables_number 1
loop_
_symmetry_equiv_pos_as_xyz
'x,y,z'
loop_
_atom_site_label
_atom_site_fract_x
_atom_site_fract_y
_atom_site_fract_z
Se1 0.333 0.667 0.874
Se2 0.000 0.000 0.381
Se3 0.333 0.667 0.623
Nb1 0.667 0.333 0.259
Nb2 0.667 0.333 0.750
Te1 0.000 0.000 0.113


(3)
# PBE Ba2NaIrN6, relaxed
# Excess energy over the best structure of this formula in the dataset   7 meV/atom
# Space-group type   Fm-3m (225)
data_Ba2NaIrN6
_chemical_formula_sum 'Ba2 Na1 Ir1 N6'
_cell_length_a 6.002
_cell_length_b 6.002
_cell_length_c 6.002
_cell_angle_alpha 120.05
_cell_angle_beta 120.05
_cell_angle_gamma 89.91
_symmetry_space_group_name_H-M 'P 1'
_symmetry_Int_Tables_number 1
loop_
_symmetry_equiv_pos_as_xyz
'x,y,z'
loop_
_atom_site_label
_atom_site_fract_x
_atom_site_fract_y
_atom_site_fract_z
Ir1 0.000 0.000 0.000
Ba1 0.750 0.250 0.500
Ba2 0.250 0.750 0.500
N1 0.230 0.230 0.000
N2 0.771 0.229 0.000
N3 0.771 0.771 0.541
N4 0.229 0.229 0.459
N5 0.770 0.770 0.000
N6 0.229 0.771 0.000
Na1 0.500 0.500 0.000


(4)
# PBE LiCo3Se5, relaxed
# Raw total energy   -4.7249 eV/atom
# Space-group type   P6/mmm (191)
data_LiCo3Se5
_chemical_formula_sum 'Li1 Co3 Se5'
_cell_length_a 5.511
_cell_length_b 5.511
_cell_length_c 6.786
_cell_angle_alpha 90.00
_cell_angle_beta 90.00
_cell_angle_gamma 120.00
_symmetry_space_group_name_H-M 'P 1'
_symmetry_Int_Tables_number 1
loop_
_symmetry_equiv_pos_as_xyz
'x,y,z'
loop_
_atom_site_label
_atom_site_fract_x
_atom_site_fract_y
_atom_site_fract_z
Se1 0.667 0.333 0.753
Se2 0.000 0.000 0.500
Se3 0.667 0.333 0.247
Se4 0.333 0.667 0.247
Se5 0.333 0.667 0.753
Li1 0.000 0.000 0.000
Co1 0.500 0.500 0.500
Co2 0.000 0.500 0.500
Co3 0.500 0.000 0.500